Entry 1:
A plane-wave DFT calculation with PBE-GGA was carried out for an optimized crystal structure of Ca2SnBi.

Output
The calculation puts the distance to the lowest polymorph of the same formula at 20 meV per atom. The density of states at the Fermi level comes out at 0.63 states/eV/f.u. Its total energy is -3.608 eV/atom. Its space group is P2_1/c, No. 14. As for the calculated volume: 32.15 A^3/atom.

Cell: 7.451 6.590 12.362 Å, 90.00 122.05 90.00°
Element x y z (fractional)
Ca (0.032, 0.125, 0.155)
Ca (0.032, 0.375, 0.655)
Ca (0.446, 0.195, 0.604)
Ca (0.446, 0.305, 0.104)
Ca (0.554, 0.695, 0.896)
Ca (0.554, 0.805, 0.396)
Ca (0.968, 0.625, 0.345)
Ca (0.968, 0.875, 0.845)
Sn (0.062, 0.634, 0.110)
Sn (0.062, 0.866, 0.610)
Sn (0.938, 0.134, 0.390)
Sn (0.938, 0.366, 0.890)
Bi (0.444, 0.695, 0.609)
Bi (0.444, 0.805, 0.109)
Bi (0.556, 0.195, 0.891)
Bi (0.556, 0.305, 0.391)

Entry 2:
A plane-wave DFT calculation with PBE-GGA was carried out for an optimized crystal structure of PaVSb2.

Output
The calculation puts the distance to the lowest polymorph of the same formula at 240 meV per atom. The density of states at the Fermi level comes out at 5.50 states/eV/f.u. Its total energy is -6.591 eV/atom. The formation energy (no corrections) is 0.124 eV/atom. Its space group is R-3m, No. 166. As for the calculated volume: 23.38 A^3/atom.

Cell: 10.561 10.561 10.561 Å, 17.56 17.56 17.56°
Element x y z (fractional)
Pa (0.000, 0.000, 0.000)
V (0.500, 0.500, 0.500)
Sb (0.102, 0.102, 0.102)
Sb (0.898, 0.898, 0.898)

Entry 3:
A plane-wave DFT calculation with PBE-GGA was carried out for an optimized crystal structure of Nb4Ru3Pt2.

Output
The density of states at the Fermi level comes out at 7.35 states/eV/f.u. Its total energy is -9.247 eV/atom. Its space group is C2/m, No. 12. As for the calculated volume: 16.07 A^3/atom.

Cell: 4.909 4.909 8.497 Å, 106.36 106.36 47.94°
Element x y z (fractional)
Nb (0.016, 0.016, 0.337)
Nb (0.337, 0.337, 0.109)
Nb (0.663, 0.663, 0.891)
Nb (0.984, 0.984, 0.663)
Ru (0.000, 0.000, 0.000)
Ru (0.338, 0.338, 0.452)
Ru (0.662, 0.662, 0.548)
Pt (0.327, 0.327, 0.773)
Pt (0.673, 0.673, 0.227)